<i>
Here is a relaxed structure of V4TcGe2 from the Alexandria database. Energies are from PBE.

Computed properties:
D(E_F): 7.2 states/eV/cell

Cell and atoms, written as CIF:
```
data_V4TcGe2
_chemical_formula_sum 'V4 Tc1 Ge2'
_cell_length_a 7.324
_cell_length_b 7.324
_cell_length_c 7.324
_cell_angle_alpha 144.71
_cell_angle_beta 144.71
_cell_angle_gamma 50.76
_space_group_name_H-M_alt 'P 1'
_space_group_IT_number 1
_space_group_name_Hall 'P 1'
loop_
_atom_site_label
_atom_site_type_symbol
_atom_site_fract_x
_atom_site_fract_y
_atom_site_fract_z
V1 V 0.000 0.500 0.500
V2 V 0.181 0.181 0.000
V3 V 0.500 0.000 0.500
V4 V 0.819 0.819 0.000
Tc1 Tc 0.000 0.000 0.000
Ge1 Ge 0.371 0.371 0.000
Ge2 Ge 0.629 0.629 0.000
```


<ii>
Here is a relaxed structure of V4TcGe2 from the Alexandria database. Energies are from PBE.

Computed properties:
D(E_F): 10.7 states/eV/cell

Cell and atoms, written as CIF:
```
data_V4TcGe2
_chemical_formula_sum 'V8 Tc2 Ge4'
_cell_length_a 6.544
_cell_length_b 6.556
_cell_length_c 6.559
_cell_angle_alpha 118.59
_cell_angle_beta 118.61
_cell_angle_gamma 92.35
_space_group_name_H-M_alt 'P 1'
_space_group_IT_number 1
_space_group_name_Hall 'P 1'
loop_
_atom_site_label
_atom_site_type_symbol
_atom_site_fract_x
_atom_site_fract_y
_atom_site_fract_z
V1 V 0.000 0.000 0.000
V2 V 0.049 0.486 0.177
V3 V 0.274 0.854 0.791
V4 V 0.537 0.744 0.598
V5 V 0.596 0.217 0.805
V6 V 0.656 0.692 0.020
V7 V 0.808 0.617 0.403
V8 V 0.895 0.085 0.635
Tc1 Tc 0.133 0.946 0.414
Tc2 Tc 0.741 0.154 0.212
Ge1 Ge 0.244 0.392 0.548
Ge2 Ge 0.360 0.325 0.067
Ge3 Ge 0.427 0.899 0.254
Ge4 Ge 0.844 0.504 0.734
```


Most stable one: <ii>, least stable one: <i>.


<i>
Here is a relaxed structure of TcGeW from the Alexandria database. Energies are from PBE.

Computed properties:
D(E_F): 1.7 states/eV/cell

Cell and atoms, written as CIF:
```
data_TcGeW
_chemical_formula_sum 'Tc1 Ge1 W1'
_cell_length_a 4.291
_cell_length_b 4.291
_cell_length_c 2.870
_cell_angle_alpha 90.00
_cell_angle_beta 90.00
_cell_angle_gamma 120.00
_space_group_name_H-M_alt 'P 1'
_space_group_IT_number 1
_space_group_name_Hall 'P 1'
loop_
_atom_site_label
_atom_site_type_symbol
_atom_site_fract_x
_atom_site_fract_y
_atom_site_fract_z
Tc1 Tc 0.000 0.000 0.000
Ge1 Ge 0.667 0.333 0.000
W1 W 0.333 0.667 0.500
```


<ii>
Here is a relaxed structure of TcGeW from the Alexandria database. Energies are from PBE.

Computed properties:
D(E_F): 5.1 states/eV/cell

Cell and atoms, written as CIF:
```
data_TcGeW
_chemical_formula_sum 'Tc2 Ge2 W2'
_cell_length_a 12.111
_cell_length_b 2.968
_cell_length_c 2.968
_cell_angle_alpha 59.95
_cell_angle_beta 90.00
_cell_angle_gamma 90.00
_space_group_name_H-M_alt 'P 1'
_space_group_IT_number 1
_space_group_name_Hall 'P 1'
loop_
_atom_site_label
_atom_site_type_symbol
_atom_site_fract_x
_atom_site_fract_y
_atom_site_fract_z
Tc1 Tc 0.175 0.000 0.000
Tc2 Tc 0.825 0.000 0.000
Ge1 Ge 0.333 0.667 0.667
Ge2 Ge 0.667 0.667 0.667
W1 W 0.000 0.668 0.668
W2 W 0.500 0.000 0.000
```


Most stable one: <i>, least stable one: <ii>.


<i>
Here is a relaxed structure of TcGe2W from the Alexandria database. Energies are from PBE.

Computed properties:
D(E_F): 5.4 states/eV/cell

Cell and atoms, written as CIF:
```
data_TcGe2W
_chemical_formula_sum 'Tc1 Ge2 W1'
_cell_length_a 4.392
_cell_length_b 4.392
_cell_length_c 4.392
_cell_angle_alpha 60.00
_cell_angle_beta 60.00
_cell_angle_gamma 60.00
_space_group_name_H-M_alt 'P 1'
_space_group_IT_number 1
_space_group_name_Hall 'P 1'
loop_
_atom_site_label
_atom_site_type_symbol
_atom_site_fract_x
_atom_site_fract_y
_atom_site_fract_z
Tc1 Tc 0.000 0.000 0.000
Ge1 Ge 0.250 0.250 0.250
Ge2 Ge 0.750 0.750 0.750
W1 W 0.500 0.500 0.500
```


<ii>
Here is a relaxed structure of TcGe2W from the Alexandria database. Energies are from PBE.

Computed properties:
D(E_F): 3.6 states/eV/cell

Cell and atoms, written as CIF:
```
data_TcGe2W
_chemical_formula_sum 'Tc1 Ge2 W1'
_cell_length_a 9.501
_cell_length_b 9.501
_cell_length_c 9.501
_cell_angle_alpha 17.34
_cell_angle_beta 17.34
_cell_angle_gamma 17.34
_space_group_name_H-M_alt 'P 1'
_space_group_IT_number 1
_space_group_name_Hall 'P 1'
loop_
_atom_site_label
_atom_site_type_symbol
_atom_site_fract_x
_atom_site_fract_y
_atom_site_fract_z
Tc1 Tc 0.000 0.000 0.000
Ge1 Ge 0.090 0.090 0.090
Ge2 Ge 0.910 0.910 0.910
W1 W 0.500 0.500 0.500
```


Most stable one: <i>, least stable one: <ii>.


<i>
Here is a relaxed structure of YTcGe from the Alexandria database. Energies are from PBE.

Computed properties:
D(E_F): 5.8 states/eV/cell

Cell and atoms, written as CIF:
```
data_YTcGe
_chemical_formula_sum 'Y2 Tc2 Ge2'
_cell_length_a 4.026
_cell_length_b 4.026
_cell_length_c 7.312
_cell_angle_alpha 90.00
_cell_angle_beta 90.00
_cell_angle_gamma 90.00
_space_group_name_H-M_alt 'P 1'
_space_group_IT_number 1
_space_group_name_Hall 'P 1'
loop_
_atom_site_label
_atom_site_type_symbol
_atom_site_fract_x
_atom_site_fract_y
_atom_site_fract_z
Y1 Y 0.250 0.250 0.160
Y2 Y 0.750 0.750 0.840
Tc1 Tc 0.250 0.750 0.500
Tc2 Tc 0.750 0.250 0.500
Ge1 Ge 0.250 0.250 0.726
Ge2 Ge 0.750 0.750 0.274
```


<ii>
Here is a relaxed structure of YTcGe from the Alexandria database. Energies are from PBE.

Computed properties:
D(E_F): 2.4 states/eV/cell

Cell and atoms, written as CIF:
```
data_YTcGe
_chemical_formula_sum 'Y1 Tc1 Ge1'
_cell_length_a 3.713
_cell_length_b 4.339
_cell_length_c 4.339
_cell_angle_alpha 59.87
_cell_angle_beta 90.00
_cell_angle_gamma 90.00
_space_group_name_H-M_alt 'P 1'
_space_group_IT_number 1
_space_group_name_Hall 'P 1'
loop_
_atom_site_label
_atom_site_type_symbol
_atom_site_fract_x
_atom_site_fract_y
_atom_site_fract_z
Y1 Y 0.000 0.000 0.000
Tc1 Tc 0.500 0.334 0.334
Ge1 Ge 0.500 0.667 0.667
```


Most stable one: <i>, least stable one: <ii>.